[1]
TmGaAsO | OQMD via LeMat-Bulk | PBE-GGA | optimized geometry; relative energy among the computed polymorphs = 926 meV/atom; magnetization = 0.1 μB per cell; theoretical density = 6.26 g/cm³
1.0
-3.420 2.556 0.644
-1.932 -1.713 -3.461
-3.892 -6.574 5.427
As Ga O Tm
2 2 2 2
direct
0.000 0.500 0.314
0.500 0.000 0.686
0.000 0.500 0.047
0.500 0.000 0.953
0.000 0.000 0.000
0.500 0.500 0.000
0.000 0.000 0.500
0.500 0.500 0.500

[2]
ZnGaAsO | OQMD via LeMat-Bulk | PBE-GGA | optimized geometry; relative energy among the computed polymorphs = 0 meV/atom; theoretical density = 5.46 g/cm³
1.0
3.841 0.000 0.000
0.000 6.168 0.000
0.000 0.000 5.805
As Ga O Zn
2 2 2 2
direct
0.000 0.815 0.381
0.000 0.185 0.881
0.500 0.364 0.036
0.500 0.636 0.536
0.500 0.356 0.374
0.500 0.644 0.874
0.000 0.206 0.463
0.000 0.794 0.963

[3]
ZnGaAsO | OQMD via LeMat-Bulk | PBE-GGA | optimized geometry; relative energy among the computed polymorphs = 85 meV/atom; theoretical density = 5.53 g/cm³
1.0
-1.022 -2.349 2.600
-3.413 -3.096 -4.139
4.723 -3.483 -1.290
As Ga O Zn
2 2 2 2
direct
0.000 0.318 0.366
0.000 0.682 0.866
0.000 0.700 0.462
0.000 0.300 0.962
0.500 0.836 0.383
0.500 0.164 0.883
0.500 0.867 0.043
0.500 0.133 0.543

[4]
ZnGaAsO | OQMD via LeMat-Bulk | PBE-GGA | optimized geometry; relative energy among the computed polymorphs = 206 meV/atom; theoretical density = 5.05 g/cm³
1.0
-0.978 -3.377 -1.965
3.894 -0.680 -0.770
0.714 -4.753 7.813
As Ga O Zn
2 2 2 2
direct
0.750 0.750 0.329
0.250 0.250 0.671
0.750 0.250 0.500
0.250 0.750 0.500
0.750 0.250 0.000
0.250 0.750 0.000
0.750 0.750 0.034
0.250 0.250 0.966

Copy entry 3 word for word.
ZnGaAsO | OQMD via LeMat-Bulk | PBE-GGA | optimized geometry; relative energy among the computed polymorphs = 85 meV/atom; theoretical density = 5.53 g/cm³
1.0
-1.022 -2.349 2.600
-3.413 -3.096 -4.139
4.723 -3.483 -1.290
As Ga O Zn
2 2 2 2
direct
0.000 0.318 0.366
0.000 0.682 0.866
0.000 0.700 0.462
0.000 0.300 0.962
0.500 0.836 0.383
0.500 0.164 0.883
0.500 0.867 0.043
0.500 0.133 0.543